# 1
# CeY3Hg6 PBE optimized geometry
data_CeY3Hg6
_chemical_formula_sum 'Ce2 Y6 Hg12'
_cell_length_a 9.2733
_cell_length_b 5.2005
_cell_length_c 11.2352
_cell_angle_alpha 90.00
_cell_angle_beta 106.83
_cell_angle_gamma 90.00
_space_group_name_H-M_alt 'P 1 21/m 1'
_space_group_IT_number 11
loop_
_space_group_symop_operation_xyz
'x,y,z'
'-x,-y,-z'
'-x,y+1/2,-z'
'x,-y+1/2,z'
loop_
_atom_site_label
_atom_site_fract_x
_atom_site_fract_y
_atom_site_fract_z
Ce1 0.0668 0.2500 0.3837
Y1 0.2307 0.2500 0.0054
Y2 0.3518 0.7500 0.8042
Y3 0.4882 0.2500 0.6129
Hg1 0.0633 0.7500 0.9084
Hg2 0.1424 0.7500 0.2066
Hg3 0.1726 0.2500 0.6902
Hg4 0.2502 0.7500 0.5189
Hg5 0.3583 0.2500 0.2927
Hg6 0.4658 0.7500 0.0931
# DFT formation energy in meV/atom: -409
# VASP energy in eV per atom: -3.12
# Magnetic moment in μB per atom: 0.108

# 2
# SrCa2InCu PBE optimized geometry
data_SrCa2InCu
_chemical_formula_sum 'Sr1 Ca2 In1 Cu1'
_cell_length_a 5.6469
_cell_length_b 5.6469
_cell_length_c 5.1148
_cell_angle_alpha 90.00
_cell_angle_beta 90.00
_cell_angle_gamma 90.00
_space_group_name_H-M_alt 'P 4/m m m'
_space_group_IT_number 123
_space_group_name_Hall '-P 4 2'
loop_
_atom_site_label
_atom_site_fract_x
_atom_site_fract_y
_atom_site_fract_z
Sr1 0.0000 0.0000 0.0000
Ca1 0.0000 0.5000 0.5000
In1 0.5000 0.5000 0.0000
Cu1 0.5000 0.5000 0.5000
# DFT formation energy in meV/atom: -113
# VASP energy in eV per atom: -2.62
# Magnetic moment in μB per atom: 0.000

# 3
# LiTiAs2Br PBE optimized geometry
data_LiTiAs2Br
_chemical_formula_sum 'Li1 Ti1 As2 Br1'
_cell_length_a 4.8198
_cell_length_b 4.8198
_cell_length_c 5.6631
_cell_angle_alpha 90.00
_cell_angle_beta 90.00
_cell_angle_gamma 90.00
_space_group_name_H-M_alt 'P 4/m m m'
_space_group_IT_number 123
_space_group_name_Hall '-P 4 2'
loop_
_atom_site_label
_atom_site_fract_x
_atom_site_fract_y
_atom_site_fract_z
Li1 0.0000 0.0000 0.0000
Ti1 0.5000 0.5000 0.5000
As1 0.0000 0.5000 0.5000
Br1 0.5000 0.5000 0.0000
# VASP energy in eV per atom: -4.51
# Magnetic moment in μB per atom: 0.000

# 4
# GeH2Pd7Pb2 PBE optimized geometry
data_GeH2Pd7Pb2
_chemical_formula_sum 'Ge2 H4 Pd14 Pb4'
_cell_length_a 3.9950
_cell_length_b 3.9950
_cell_length_c 22.9805
_cell_angle_alpha 90.00
_cell_angle_beta 90.00
_cell_angle_gamma 90.00
_space_group_name_H-M_alt 'I 4/m m m'
_space_group_IT_number 139
_space_group_name_Hall '-I 4 2'
loop_
_atom_site_label
_atom_site_fract_x
_atom_site_fract_y
_atom_site_fract_z
Ge1 0.0000 0.0000 0.0000
H1 0.0000 0.0000 0.4123
Pd1 0.0000 0.0000 0.3259
Pd2 0.0000 0.0000 0.5000
Pd3 0.0000 0.5000 0.0846
Pb1 0.0000 0.0000 0.1990
# VASP energy in eV per atom: -4.83
# Magnetic moment in μB per atom: 0.000

# 5
# NdDy2Ho PBE optimized geometry
data_NdDy2Ho
_chemical_formula_sum 'Nd1 Dy2 Ho1'
_cell_length_a 3.5709
_cell_length_b 3.5709
_cell_length_c 10.1104
_cell_angle_alpha 90.00
_cell_angle_beta 90.00
_cell_angle_gamma 90.00
_space_group_name_H-M_alt 'P 4/m m m'
_space_group_IT_number 123
_space_group_name_Hall '-P 4 2'
loop_
_atom_site_label
_atom_site_fract_x
_atom_site_fract_y
_atom_site_fract_z
Nd1 0.0000 0.0000 0.0000
Dy1 0.5000 0.5000 0.2551
Ho1 0.0000 0.0000 0.5000
# DFT formation energy in meV/atom: 22
# VASP energy in eV per atom: -4.62
# Magnetic moment in μB per atom: 0.000

# 6
# CaTc2H8 PBE optimized geometry
data_CaTc2H8
_chemical_formula_sum 'Ca2 Tc4 H16'
_cell_length_a 5.4837
_cell_length_b 8.6233
_cell_length_c 3.5163
_cell_angle_alpha 90.00
_cell_angle_beta 92.48
_cell_angle_gamma 90.00
_space_group_name_H-M_alt 'C 1 2/m 1'
_space_group_IT_number 12
loop_
_space_group_symop_operation_xyz
'x,y,z'
'-x,-y,-z'
'-x,y,-z'
'x,-y,z'
'x+1/2,y+1/2,z'
'-x+1/2,-y+1/2,-z'
'-x+1/2,y+1/2,-z'
'x+1/2,-y+1/2,z'
loop_
_atom_site_label
_atom_site_fract_x
_atom_site_fract_y
_atom_site_fract_z
Ca1 0.0000 0.0000 0.0000
Tc1 0.0000 0.3239 0.5000
H1 0.0000 0.2795 0.0000
H2 0.0841 0.5000 0.7488
H3 0.1725 0.1454 0.5257
# VASP energy in eV per atom: -4.59
# Magnetic moment in μB per atom: 0.000

# 7
# Tb2Cu15Hg2 PBE optimized geometry
data_Tb2Cu15Hg2
_chemical_formula_sum 'Tb6 Cu45 Hg6'
_cell_length_a 8.8027
_cell_length_b 8.8027
_cell_length_c 12.6828
_cell_angle_alpha 90.00
_cell_angle_beta 90.00
_cell_angle_gamma 120.00
_space_group_name_H-M_alt 'R -3 m'
_space_group_IT_number 166
_space_group_name_Hall '-R 3 2"'
loop_
_atom_site_label
_atom_site_fract_x
_atom_site_fract_y
_atom_site_fract_z
Tb1 0.0000 0.0000 0.1468
Cu1 0.0000 0.3100 0.5000
Cu2 0.0000 0.5000 0.0000
Cu3 0.0094 0.5047 0.6557
Hg1 0.0000 0.0000 0.3899
# DFT formation energy in meV/atom: -83
# VASP energy in eV per atom: -3.84
# Magnetic moment in μB per atom: 0.000

# 8
# GaSb2Se5 PBE optimized geometry
data_GaSb2Se5
_chemical_formula_sum 'Ga4 Sb8 Se20'
_cell_length_a 5.6708
_cell_length_b 12.8187
_cell_length_c 12.7856
_cell_angle_alpha 90.00
_cell_angle_beta 90.00
_cell_angle_gamma 90.00
_space_group_name_H-M_alt 'C m c m'
_space_group_IT_number 63
_space_group_name_Hall '-C 2c 2'
loop_
_atom_site_label
_atom_site_fract_x
_atom_site_fract_y
_atom_site_fract_z
Ga1 0.0000 0.2346 0.2500
Sb1 0.0000 0.1463 0.5519
Se1 0.0000 0.0527 0.1423
Se2 0.0000 0.2391 0.7500
Se3 0.0000 0.3357 0.0800
# VASP energy in eV per atom: -3.74
# Magnetic moment in μB per atom: 0.000

# 9
# CoSbI2 PBE optimized geometry
data_CoSbI2
_chemical_formula_sum 'Co4 Sb4 I8'
_cell_length_a 10.3101
_cell_length_b 10.3101
_cell_length_c 4.8649
_cell_angle_alpha 90.00
_cell_angle_beta 90.00
_cell_angle_gamma 90.00
_space_group_name_H-M_alt 'I -4 2 d'
_space_group_IT_number 122
_space_group_name_Hall 'I -4 2bw'
loop_
_atom_site_label
_atom_site_fract_x
_atom_site_fract_y
_atom_site_fract_z
Co1 0.0000 0.0000 0.0000
Sb1 0.0000 0.0000 0.5000
I1 0.0684 0.2500 0.1250
# VASP energy in eV per atom: -3.35
# Magnetic moment in μB per atom: 0.000

# 10
# Sm2Dy5Tm12 PBE optimized geometry
data_Sm2Dy5Tm12
_chemical_formula_sum 'Sm4 Dy10 Tm24'
_cell_length_a 15.6031
_cell_length_b 9.1485
_cell_length_c 8.4230
_cell_angle_alpha 90.00
_cell_angle_beta 91.41
_cell_angle_gamma 90.00
_space_group_name_H-M_alt 'C 1 2/m 1'
_space_group_IT_number 12
loop_
_space_group_symop_operation_xyz
'x,y,z'
'-x,-y,-z'
'-x,y,-z'
'x,-y,z'
'x+1/2,y+1/2,z'
'-x+1/2,-y+1/2,-z'
'-x+1/2,y+1/2,-z'
'x+1/2,-y+1/2,z'
loop_
_atom_site_label
_atom_site_fract_x
_atom_site_fract_y
_atom_site_fract_z
Sm1 0.0000 0.1832 0.0000
Dy1 0.0000 0.5000 0.5000
Dy2 0.1986 0.0000 0.0089
Dy3 0.2327 0.5000 0.5761
Tm1 0.0563 0.0000 0.3296
Tm2 0.0913 0.5000 0.8824
Tm3 0.1272 0.1914 0.6546
Tm4 0.1554 0.3195 0.2453
# DFT formation energy in meV/atom: 131
# VASP energy in eV per atom: -4.40
# Magnetic moment in μB per atom: 0.000

# 11
# Ti2TcPd2 PBE optimized geometry
data_Ti2TcPd2
_chemical_formula_sum 'Ti4 Tc2 Pd4'
_cell_length_a 3.1075
_cell_length_b 16.6633
_cell_length_c 3.1045
_cell_angle_alpha 90.00
_cell_angle_beta 90.00
_cell_angle_gamma 90.00
_space_group_name_H-M_alt 'C m m m'
_space_group_IT_number 65
_space_group_name_Hall '-C 2 2'
loop_
_atom_site_label
_atom_site_fract_x
_atom_site_fract_y
_atom_site_fract_z
Ti1 0.0000 0.0910 0.0000
Tc1 0.0000 0.5000 0.5000
Pd1 0.0000 0.3192 0.5000
# DFT formation energy in meV/atom: -521
# VASP energy in eV per atom: -7.83
# Magnetic moment in μB per atom: 0.000

# 12
# Ca2SmMg3 PBE optimized geometry
data_Ca2SmMg3
_chemical_formula_sum 'Ca2 Sm1 Mg3'
_cell_length_a 3.8466
_cell_length_b 3.8466
_cell_length_c 12.2740
_cell_angle_alpha 90.00
_cell_angle_beta 90.00
_cell_angle_gamma 90.00
_space_group_name_H-M_alt 'P 4/m m m'
_space_group_IT_number 123
_space_group_name_Hall '-P 4 2'
loop_
_atom_site_label
_atom_site_fract_x
_atom_site_fract_y
_atom_site_fract_z
Ca1 0.0000 0.0000 0.1705
Sm1 0.0000 0.0000 0.5000
Mg1 0.5000 0.5000 0.0000
Mg2 0.5000 0.5000 0.3411
# DFT formation energy in meV/atom: -81
# VASP energy in eV per atom: -2.33
# Magnetic moment in μB per atom: 0.050

# 13
# BaHAu3 PBE optimized geometry
data_BaHAu3
_chemical_formula_sum 'Ba1 H1 Au3'
_cell_length_a 6.3423
_cell_length_b 6.3423
_cell_length_c 6.3423
_cell_angle_alpha 90.00
_cell_angle_beta 90.00
_cell_angle_gamma 90.00
_space_group_name_H-M_alt 'P m -3 m'
_space_group_IT_number 221
_space_group_name_Hall '-P 4 2 3'
loop_
_atom_site_label
_atom_site_fract_x
_atom_site_fract_y
_atom_site_fract_z
Ba1 0.0000 0.0000 0.0000
H1 0.5000 0.5000 0.5000
Au1 0.0000 0.0000 0.5000
# VASP energy in eV per atom: -2.05
# Magnetic moment in μB per atom: 0.400

# 14
# ZrZnCo2 PBE optimized geometry
data_ZrZnCo2
_chemical_formula_sum 'Zr2 Zn2 Co4'
_cell_length_a 5.5419
_cell_length_b 8.0706
_cell_length_c 2.7779
_cell_angle_alpha 90.00
_cell_angle_beta 112.79
_cell_angle_gamma 90.00
_space_group_name_H-M_alt 'C 1 2/m 1'
_space_group_IT_number 12
loop_
_space_group_symop_operation_xyz
'x,y,z'
'-x,-y,-z'
'-x,y,-z'
'x,-y,z'
'x+1/2,y+1/2,z'
'-x+1/2,-y+1/2,-z'
'-x+1/2,y+1/2,-z'
'x+1/2,-y+1/2,z'
loop_
_atom_site_label
_atom_site_fract_x
_atom_site_fract_y
_atom_site_fract_z
Zr1 0.0000 0.0000 0.0000
Zn1 0.0000 0.5000 0.0000
Co1 0.2500 0.2500 0.5000
# DFT formation energy in meV/atom: 102
# VASP energy in eV per atom: -5.91
# Magnetic moment in μB per atom: 0.279

# 15
# RbH5Cl4 PBE optimized geometry
data_RbH5Cl4
_chemical_formula_sum 'Rb2 H10 Cl8'
_cell_length_a 8.1223
_cell_length_b 13.1007
_cell_length_c 4.5795
_cell_angle_alpha 90.00
_cell_angle_beta 90.00
_cell_angle_gamma 90.00
_space_group_name_H-M_alt 'P m m n'
_space_group_IT_number 59
loop_
_space_group_symop_operation_xyz
'x,y,z'
'-x,-y,-z'
'-x+1/2,-y+1/2,z'
'x+1/2,y+1/2,-z'
'x+1/2,-y,-z'
'-x+1/2,y,z'
'-x,y+1/2,-z'
'x,-y+1/2,z'
loop_
_atom_site_label
_atom_site_fract_x
_atom_site_fract_y
_atom_site_fract_z
Rb1 0.2500 0.2500 0.0014
H1 0.0567 0.5007 0.5000
H2 0.2500 0.7500 0.4982
Cl1 0.0568 0.7500 0.4983
Cl2 0.2500 0.0218 0.5001
# VASP energy in eV per atom: -2.91
# Magnetic moment in μB per atom: 0.026

# 16
# YHoSiGe PBE optimized geometry
data_YHoSiGe
_chemical_formula_sum 'Y2 Ho2 Si2 Ge2'
_cell_length_a 3.8985
_cell_length_b 4.2759
_cell_length_c 10.6135
_cell_angle_alpha 90.00
_cell_angle_beta 90.00
_cell_angle_gamma 90.00
_space_group_name_H-M_alt 'A m m 2'
_space_group_IT_number 38
loop_
_space_group_symop_operation_xyz
'x,y,z'
'-x,-y,z'
'-x,y,z'
'x,-y,z'
'x,y+1/2,z+1/2'
'-x,-y+1/2,z+1/2'
'-x,y+1/2,z+1/2'
'x,-y+1/2,z+1/2'
loop_
_atom_site_label
_atom_site_fract_x
_atom_site_fract_y
_atom_site_fract_z
Y1 0.0000 0.0000 0.0000
Ho1 0.5000 0.0000 0.7213
Si1 0.0000 0.0000 0.2779
Ge1 0.5000 0.0000 0.4401
# VASP energy in eV per atom: -6.12
# Magnetic moment in μB per atom: 0.000

# 17
# Ba2NaAlIr PBE optimized geometry
data_Ba2NaAlIr
_chemical_formula_sum 'Ba2 Na1 Al1 Ir1'
_cell_length_a 6.1976
_cell_length_b 6.1976
_cell_length_c 4.8813
_cell_angle_alpha 90.00
_cell_angle_beta 90.00
_cell_angle_gamma 90.00
_space_group_name_H-M_alt 'P 4/m m m'
_space_group_IT_number 123
_space_group_name_Hall '-P 4 2'
loop_
_atom_site_label
_atom_site_fract_x
_atom_site_fract_y
_atom_site_fract_z
Ba1 0.0000 0.5000 0.0000
Na1 0.0000 0.0000 0.5000
Al1 0.5000 0.5000 0.5000
Ir1 0.5000 0.5000 0.0000
# DFT formation energy in meV/atom: -174
# VASP energy in eV per atom: -3.73
# Magnetic moment in μB per atom: 0.000

# 18
# SiW2 PBE optimized geometry
data_SiW2
_chemical_formula_sum 'Si4 W8'
_cell_length_a 2.9283
_cell_length_b 2.9283
_cell_length_c 21.9278
_cell_angle_alpha 90.00
_cell_angle_beta 90.00
_cell_angle_gamma 90.00
_space_group_name_H-M_alt 'I 41/a m d'
_space_group_IT_number 141
loop_
_space_group_symop_operation_xyz
'x,y,z'
'-x,-y,-z'
'-y+1/4,x+3/4,z+1/4'
'y+1/4,-x+3/4,-z+1/4'
'-x+1/2,-y,z+1/2'
'x+1/2,y,-z+1/2'
'y+1/4,-x+1/4,z+3/4'
'-y+1/4,x+1/4,-z+3/4'
'x,-y,-z'
'-x,y,z'
'-y+1/4,-x+1/4,-z+3/4'
'y+1/4,x+1/4,z+3/4'
'-x+1/2,y,-z+1/2'
'x+1/2,-y,z+1/2'
'y+1/4,x+3/4,-z+1/4'
'-y+1/4,-x+3/4,z+1/4'
'x+1/2,y+1/2,z+1/2'
'-x+1/2,-y+1/2,-z+1/2'
'-y+3/4,x+1/4,z+3/4'
'y+3/4,-x+1/4,-z+3/4'
'-x,-y+1/2,z'
'x,y+1/2,-z'
'y+3/4,-x+3/4,z+1/4'
'-y+3/4,x+3/4,-z+1/4'
'x+1/2,-y+1/2,-z+1/2'
'-x+1/2,y+1/2,z+1/2'
'-y+3/4,-x+3/4,-z+1/4'
'y+3/4,x+3/4,z+1/4'
'-x,y+1/2,-z'
'x,-y+1/2,z'
'y+3/4,x+1/4,-z+3/4'
'-y+3/4,-x+1/4,z+3/4'
loop_
_atom_site_label
_atom_site_fract_x
_atom_site_fract_y
_atom_site_fract_z
Si1 0.0000 0.2500 0.3750
W1 0.0000 0.2500 0.8003
# VASP energy in eV per atom: -9.93
# Magnetic moment in μB per atom: 0.000

# 19
# TlHg2Mo PBE optimized geometry
data_TlHg2Mo
_chemical_formula_sum 'Tl4 Hg8 Mo4'
_cell_length_a 7.1451
_cell_length_b 7.1451
_cell_length_c 7.1451
_cell_angle_alpha 90.00
_cell_angle_beta 90.00
_cell_angle_gamma 90.00
_space_group_name_H-M_alt 'F -4 3 m'
_space_group_IT_number 216
_space_group_name_Hall 'F -4 2 3'
loop_
_atom_site_label
_atom_site_fract_x
_atom_site_fract_y
_atom_site_fract_z
Tl1 0.0000 0.0000 0.0000
Hg1 0.0000 0.0000 0.5000
Hg2 0.2500 0.2500 0.2500
Mo1 0.2500 0.2500 0.7500
# DFT formation energy in meV/atom: 800
# VASP energy in eV per atom: -2.65
# Magnetic moment in μB per atom: 0.873

# 20
# LiLa2Tl2 PBE optimized geometry
data_LiLa2Tl2
_chemical_formula_sum 'Li2 La4 Tl4'
_cell_length_a 7.8072
_cell_length_b 7.8072
_cell_length_c 4.9678
_cell_angle_alpha 90.00
_cell_angle_beta 90.00
_cell_angle_gamma 90.00
_space_group_name_H-M_alt 'P 4/m b m'
_space_group_IT_number 127
_space_group_name_Hall '-P 4 2ab'
loop_
_atom_site_label
_atom_site_fract_x
_atom_site_fract_y
_atom_site_fract_z
Li1 0.0000 0.0000 0.0000
La1 0.1499 0.3501 0.5000
Tl1 0.1525 0.6525 0.0000
# DFT formation energy in meV/atom: -322
# VASP energy in eV per atom: -3.62
# Magnetic moment in μB per atom: 0.000